{
  "formula": "Sr2Zn2Au3",
  "functional": "PBE-GGA",
  "state": "optimized geometry",
  "lattice_angstrom": [[-3.081, 1.004, 3.016], [-2.516, -7.200, -0.174], [7.879, -2.893, 5.762]],
  "species": ["Au", "Au", "Zn", "Zn", "Sr", "Zn", "Zn", "Sr", "Sr", "Au", "Au", "Sr", "Au", "Au"],
  "fractional_positions": [[0.224, 0.750, 0.448], [0.566, 0.059, 0.133], [0.693, 0.939, 0.386], [0.307, 0.061, 0.614], [0.057, 0.750, 0.114], [0.693, 0.561, 0.386], [0.307, 0.439, 0.614], [0.943, 0.250, 0.886], [0.842, 0.750, 0.685], [0.434, 0.559, 0.867], [0.434, 0.941, 0.867], [0.158, 0.250, 0.315], [0.776, 0.250, 0.552], [0.566, 0.441, 0.133]],
  "formation_energy_ev_per_atom": -0.602,
  "spacegroup": "Cmcm (63)"
}

{
  "formula": "Dy3Sc7Bi2",
  "functional": "PBE-GGA",
  "state": "optimized geometry",
  "lattice_angstrom": [[6.314, 0.000, 0.000], [3.157, 5.468, 0.000], [3.157, 1.823, 9.756]],
  "species": ["Dy", "Dy", "Sc", "Dy", "Bi", "Sc", "Sc", "Bi", "Sc", "Sc", "Sc", "Sc"],
  "fractional_positions": [[0.858, 0.858, 0.425], [0.000, 0.000, 0.000], [0.417, 0.917, 0.250], [0.142, 0.142, 0.575], [0.667, 0.667, 0.000], [0.083, 0.583, 0.750], [0.417, 0.417, 0.250], [0.333, 0.333, 0.000], [0.583, 0.083, 0.750], [0.500, 0.500, 0.500], [0.917, 0.417, 0.250], [0.583, 0.583, 0.750]],
  "formation_energy_ev_per_atom": -0.092,
  "spacegroup": "R-3m (166)"
}

{
  "formula": "Ca2PmSm",
  "functional": "PBE-GGA",
  "state": "optimized geometry",
  "lattice_angstrom": [[5.926, 0.000, 0.000], [2.963, 5.132, 0.000], [2.963, 1.711, 4.839]],
  "species": ["Ca", "Sm", "Pm", "Ca"],
  "fractional_positions": [[0.750, 0.750, 0.750], [0.000, 0.000, 0.000], [0.500, 0.500, 0.500], [0.250, 0.250, 0.250]],
  "formation_energy_ev_per_atom": 0.137,
  "spacegroup": "Fm-3m (225)"
}

{
  "formula": "Nd2InSb3Pd4",
  "functional": "PBE-GGA",
  "state": "optimized geometry",
  "lattice_angstrom": [[-0.018, -1.319, 4.285], [-1.838, -3.906, -1.210], [10.239, -4.411, -1.316]],
  "species": ["Nd", "Pd", "Sb", "Pd", "Pd", "Sb", "Sb", "Nd", "In", "Pd"],
  "fractional_positions": [[0.500, 0.000, 0.232], [0.500, 0.500, 0.000], [0.000, 0.000, 0.500], [0.000, 0.000, 0.000], [0.000, 0.500, 0.363], [0.500, 0.000, 0.867], [0.000, 0.500, 0.133], [0.000, 0.500, 0.768], [0.500, 0.500, 0.500], [0.500, 0.000, 0.637]],
  "spacegroup": "P-4m2 (115)",
  "raw_formation_energy_ev_per_atom": -0.82
}

{
  "formula": "Ce2NdMg",
  "functional": "PBE-GGA",
  "state": "optimized geometry",
  "lattice_angstrom": [[-0.496, -2.177, 2.433], [-2.347, -2.303, -0.299], [7.441, -9.351, -4.607]],
  "species": ["Ce", "Ce", "Nd", "Mg"],
  "fractional_positions": [[0.087, 0.087, 0.739], [0.913, 0.913, 0.261], [0.500, 0.500, 0.500], [0.000, 0.000, 0.000]],
  "formation_energy_ev_per_atom": 0.283,
  "spacegroup": "R-3m (166)"
}

{
  "formula": "AcNdLu",
  "functional": "PBE-GGA",
  "state": "optimized geometry",
  "lattice_angstrom": [[3.589, 0.000, 0.000], [0.000, 5.901, 0.000], [0.000, -2.950, 5.110]],
  "species": ["Ac", "Nd", "Lu"],
  "fractional_positions": [[0.164, 0.000, 0.000], [0.666, 0.667, 0.333], [0.170, 0.333, 0.667]],
  "formation_energy_ev_per_atom": 0.142,
  "spacegroup": "P3m1 (156)"
}

Number 1: calculated volume 336 Å³ per cell. Number 2: calculated volume 337 Å³ per cell. Number 3: calculated volume 147 Å³ per cell. Number 4: calculated volume 226 Å³ per cell. Number 5: calculated volume 120 Å³ per cell. Number 6: calculated volume 108 Å³ per cell.